DFT (PBE) results for a relaxed BePdSe3 crystal.

Cell lengths 4.9218, 4.9218, 4.9218 Å; angles 90.00, 90.00, 90.00 degrees
With the nearest neighbours (Å) after each atom.
Fractional positions:
Be (0.0000, 0.0000, 0.0000)  12 Se 3.48
Pd (0.5000, 0.5000, 0.5000)  6 Se 2.46
Se (0.0000, 0.5000, 0.5000)  2 Pd 2.46
Se (0.5000, 0.0000, 0.5000)  2 Pd 2.46
Se (0.5000, 0.5000, 0.0000)  2 Pd 2.46

Summary:
- ΔE to the lowest computed polymorph (meV/atom) = 415
- size of the total moment (μB/f.u.) = 0.000
- energy (eV per atom) = -3.048
- volume (Å³/f.u.) = 119


DFT (PBE) results for a relaxed AlTe2Se crystal.

Cell lengths 3.4475, 3.4475, 8.4418 Å; angles 90.00, 90.00, 90.00 degrees
With the nearest neighbours (Å) after each atom.
Fractional positions:
Al (0.0000, 0.0000, 0.0000)  4 Se 2.65
Te (0.0000, 0.0000, 0.4848)  8 Te 3.21-3.45
Te (0.5000, 0.5000, 0.7328)  8 Te 3.21-3.45, 1 Se 3.29, 4 Al 3.32
Se (0.5000, 0.5000, 0.1229)  4 Al 2.65

Summary:
- size of the total moment (μB/f.u.) = 0.000
- energy (eV per atom) = -3.337
- volume (Å³/f.u.) = 100


DFT (PBE) results for a relaxed CoCuMo crystal.

Cell lengths 5.6751, 5.6751, 5.6751 Å; angles 152.67, 152.67, 39.04 degrees
With the nearest neighbours (Å) after each atom.
Fractional positions:
Co (0.0000, 0.0000, 0.0000)  4 Cu 2.52, 4 Mo 2.56, 4 Co 2.68
Cu (0.6558, 0.6558, 0.0000)  4 Co 2.52, 4 Cu 2.68, 4 Mo 2.73
Mo (0.3396, 0.3396, 0.0000)  4 Co 2.56, 4 Mo 2.68, 4 Cu 2.73

Summary:
- ΔE to the lowest computed polymorph (meV/atom) = 39
- formation enthalpy at 0 K (eV per atom) = 0.18
- size of the total moment (μB/f.u.) = 0.637
- energy (eV per atom) = -7.168
- volume (Å³/f.u.) = 38


DFT (PBE) results for a relaxed LiCu2Ni2 crystal.

Cell lengths 7.0784, 7.0784, 2.5124 Å; angles 90.00, 90.00, 90.00 degrees
With the nearest neighbours (Å) after each atom.
Fractional positions:
Li (0.0000, 0.0000, 0.0000)  2 Li 2.51
Li (0.5000, 0.5000, 0.0000)  2 Li 2.51
Cu (0.1745, 0.3255, 0.5000)  6 Ni 2.40-2.47, 2 Cu 2.51
Cu (0.3255, 0.8255, 0.5000)  6 Ni 2.40-2.47, 2 Cu 2.51
Cu (0.6745, 0.1745, 0.5000)  6 Ni 2.40-2.47, 2 Cu 2.51
Cu (0.8255, 0.6745, 0.5000)  6 Ni 2.40-2.47, 2 Cu 2.51
Ni (0.1212, 0.6212, 0.0000)  6 Cu 2.40-2.47, 3 Ni 2.43-2.51
Ni (0.3788, 0.1212, 0.0000)  6 Cu 2.40-2.47, 3 Ni 2.43-2.51
Ni (0.6212, 0.8788, 0.0000)  6 Cu 2.40-2.47, 3 Ni 2.43-2.51
Ni (0.8788, 0.3788, 0.0000)  6 Cu 2.40-2.47, 3 Ni 2.43-2.51

Summary:
- ΔE to the lowest computed polymorph (meV/atom) = 51
- formation enthalpy at 0 K (eV per atom) = 0.05
- size of the total moment (μB/f.u.) = 0.213
- energy (eV per atom) = -4.279
- volume (Å³/f.u.) = 63


DFT (PBE) results for a relaxed KPt3 crystal.

Cell lengths 5.9519, 5.9519, 4.4886 Å; angles 90.00, 90.00, 99.06 degrees
With the nearest neighbours (Å) after each atom.
Fractional positions:
K (0.0708, 0.9292, 0.7500)  2 K 2.58, 2 Pt 2.87
K (0.9292, 0.0708, 0.2500)  2 K 2.58, 2 Pt 2.87
Pt (0.1169, 0.5448, 0.2500)  5 Pt 2.61-2.85, 1 K 2.87
Pt (0.4148, 0.5852, 0.7500)  8 Pt 2.72-3.01
Pt (0.4552, 0.8831, 0.2500)  5 Pt 2.61-2.85, 1 K 2.87
Pt (0.5448, 0.1169, 0.7500)  5 Pt 2.61-2.85, 1 K 2.87
Pt (0.5852, 0.4148, 0.2500)  8 Pt 2.72-3.01
Pt (0.8831, 0.4552, 0.7500)  5 Pt 2.61-2.85, 1 K 2.87

Summary:
- ΔE to the lowest computed polymorph (meV/atom) = 360
- formation enthalpy at 0 K (eV per atom) = 0.21
- size of the total moment (μB/f.u.) = 0.000
- energy (eV per atom) = -4.595
- volume (Å³/f.u.) = 79


DFT (PBE) results for a relaxed BaB2PdPb crystal.

Cell lengths 4.4443, 4.4443, 5.6494 Å; angles 90.00, 90.00, 90.00 degrees
With the nearest neighbours (Å) after each atom.
Fractional positions:
Ba (0.0000, 0.0000, 0.0000)  4 Pb 3.14
B (0.0000, 0.5000, 0.5000)  2 Pd 2.22
B (0.5000, 0.0000, 0.5000)  2 Pd 2.22
Pd (0.5000, 0.5000, 0.5000)  4 B 2.22
Pb (0.5000, 0.5000, 0.0000)  2 Pd 2.82, 4 Ba 3.14

Summary:
- formation enthalpy at 0 K (eV per atom) = 0.85
- size of the total moment (μB/f.u.) = 0.000
- energy (eV per atom) = -3.989
- volume (Å³/f.u.) = 112


DFT (PBE) results for a relaxed Rb4YBr7 crystal.

Cell lengths 12.9542, 12.9542, 7.8987 Å; angles 106.83, 106.83, 24.84 degrees
With the nearest neighbours (Å) after each atom.
Fractional positions:
Rb (0.0854, 0.0854, 0.1521)  5 Br 3.28-3.57
Rb (0.2030, 0.2030, 0.7318)  3 Br 3.38-3.51
Rb (0.7970, 0.7970, 0.2682)  3 Br 3.38-3.51
Rb (0.9146, 0.9146, 0.8479)  5 Br 3.28-3.57
Y (0.5000, 0.5000, 0.5000)  6 Br 2.78-2.82
Br (0.0000, 0.0000, 0.5000)  2 Y 2.79
Br (0.2180, 0.2180, 0.1879)  4 Rb 3.28-3.51
Br (0.3947, 0.3947, 0.5537)  1 Y 2.82
Br (0.4477, 0.4477, 0.1373)  1 Y 2.78
Br (0.5523, 0.5523, 0.8627)  1 Y 2.78
Br (0.6053, 0.6053, 0.4463)  1 Y 2.82
Br (0.7820, 0.7820, 0.8121)  4 Rb 3.28-3.51

Summary:
- size of the total moment (μB/f.u.) = 0.259
- energy (eV per atom) = -3.597
- volume (Å³/f.u.) = 532


DFT (PBE) results for a relaxed In2TcH6 crystal.

Cell lengths 4.8297, 5.3569, 8.3998 Å; angles 90.00, 124.38, 90.00 degrees
With the nearest neighbours (Å) after each atom.
Fractional positions:
In (0.2223, 0.0925, 0.2292)  7 H 2.17-2.41
In (0.2223, 0.4075, 0.7292)  7 H 2.17-2.41
In (0.7777, 0.5925, 0.2708)  7 H 2.17-2.41
In (0.7777, 0.9075, 0.7708)  7 H 2.17-2.41
Tc (0.5000, 0.0000, 0.0000)  6 H 1.76-1.79
Tc (0.5000, 0.5000, 0.5000)  6 H 1.76-1.79
H (0.1974, 0.2172, 0.9654)  1 Tc 1.76
H (0.1974, 0.2828, 0.4654)  1 Tc 1.76
H (0.2904, 0.7054, 0.9236)  1 Tc 1.79
H (0.2904, 0.7946, 0.4236)  1 Tc 1.79
H (0.3106, 0.5086, 0.2488)  1 Tc 1.76
H (0.3106, 0.9914, 0.7488)  1 Tc 1.76
H (0.6894, 0.0086, 0.2512)  1 Tc 1.76
H (0.6894, 0.4914, 0.7512)  1 Tc 1.76
H (0.7096, 0.2054, 0.5764)  1 Tc 1.79
H (0.7096, 0.2946, 0.0764)  1 Tc 1.79
H (0.8026, 0.7172, 0.5346)  1 Tc 1.76
H (0.8026, 0.7828, 0.0346)  1 Tc 1.76

Summary:
- size of the total moment (μB/f.u.) = 0.000
- energy (eV per atom) = -3.860
- volume (Å³/f.u.) = 90